! KSr3Ag, relaxed, DFT PBE-GGA; values from VASP
&SYSTEM
  ibrav = 0, nat = 5, ntyp = 3
/
ATOMIC_SPECIES
K 39.10 K.upf
Sr 87.62 Sr.upf
Ag 107.87 Ag.upf
ATOMIC_POSITIONS crystal
K 0.000 0.000 0.000
Sr 0.000 0.000 0.500
Sr 0.000 0.500 0.000
Sr 0.500 0.000 0.000
Ag 0.500 0.500 0.500
CELL_PARAMETERS angstrom
7.020 0.000 0.000
0.000 7.020 0.000
0.000 0.000 7.020
! energy relative to the lowest polymorph listed for this composition = 936 meV per atom
! total DFT energy (no corrections) = -4.677 eV per formula unit